First-principles (GGA-PBE) data for a relaxed structure of Na3SbCl7, as listed in Alexandria via LeMat-Bulk.

spin magnetization	0.00	Bohr magnetons per cell
calculated volume	31.69	A^3/atom
DOS at the Fermi energy	5.464	states/eV/f.u.
E_form (uncorrected)	-1.27	eV/atom

Cell: 12.0554 8.8495 7.0295 Å, 90.00 111.63 90.00°
Last column: nearest neighbours and their distance in Å.
Space group Cm (No. 8)
Asymmetric unit:
1 Na 0.0000 0.0000 0.0000  4 Cl 2.63-2.92
2 Na 0.3862 0.2264 0.4749  5 Cl 2.59-2.87
3 Sb 0.3852 0.0000 0.9656  6 Cl 2.48-2.65
4 Cl 0.0147 0.2903 0.2056  1 Sb 2.60, 1 Na 2.86
5 Cl 0.0184 0.5000 0.7604  1 Sb 2.52
6 Cl 0.2554 0.0000 0.1981  1 Sb 2.65, 3 Na 2.83-2.87
7 Cl 0.2590 0.2023 0.7467  1 Sb 2.48
8 Cl 0.4460 0.5000 0.6017  3 Na 2.59-2.63